MnOs2: optimized geometry, PBE-GGA.

As for the space group: Pnma. The value obtained for the density of states at the Fermi level is 0.86 states/eV/atom. The total energy is -0.76615 Ry per atom.

Lattice parameters (Å, degrees): 5.2109 4.0359 7.7105 90.00 90.00 90.00
Closest atoms and distances in Å follow each position.
Sites, in units of the cell vectors:
Os  0.3201  0.7500  0.0602  5 Mn 2.50-2.75, 3 Os 2.73
Os  0.0532  0.2500  0.2164  5 Mn 2.54-2.72, 5 Os 2.66-2.73
Os  0.6799  0.2500  0.9398  5 Mn 2.50-2.75, 3 Os 2.73
Os  0.4468  0.7500  0.7164  5 Mn 2.54-2.72, 5 Os 2.66-2.73
Os  0.1799  0.2500  0.5602  5 Mn 2.50-2.75, 3 Os 2.73
Os  0.9468  0.7500  0.7836  5 Mn 2.54-2.72, 5 Os 2.66-2.73
Os  0.5532  0.2500  0.2836  5 Mn 2.54-2.72, 5 Os 2.66-2.73
Os  0.8201  0.7500  0.4398  5 Mn 2.50-2.75, 3 Os 2.73
Mn  0.7989  0.7500  0.1142  10 Os 2.50-2.75
Mn  0.2989  0.7500  0.3858  10 Os 2.50-2.75
Mn  0.7011  0.2500  0.6142  10 Os 2.50-2.75
Mn  0.2011  0.2500  0.8858  10 Os 2.50-2.75